No. 1
This record from Alexandria describes an optimized crystal structure of NdSm4Lu. The functional is PBE.

```
NdSm4Lu
1.0
6.645 0.000 0.000
3.322 5.755 0.000
3.322 1.918 5.426
Sm Nd Lu
4 1 1
direct
0.624 0.624 0.624
0.624 0.624 0.127
0.624 0.127 0.624
0.127 0.624 0.624
0.000 0.000 0.000
0.250 0.250 0.250
```

Summary:
Size of the total moment (μB per cell): 0.00
VASP energy (eV per atom): -4.43
Space group: F-43m, No. 216

***

No. 2
This record from Alexandria describes an optimized crystal structure of Hf4B2Sb. The functional is PBE.

```
Hf4B2Sb
1.0
-1.337 -2.570 -2.108
4.534 2.598 -2.999
7.792 -8.021 4.834
B Sb Hf
4 2 8
direct
0.868 0.737 0.560
0.132 0.263 0.440
0.868 0.737 0.940
0.132 0.263 0.060
0.610 0.220 0.750
0.390 0.780 0.250
0.500 0.000 0.000
0.240 0.479 0.605
0.500 0.000 0.500
0.240 0.479 0.895
0.760 0.521 0.105
0.085 0.169 0.250
0.915 0.831 0.750
0.760 0.521 0.395
```

Summary:
Size of the total moment (μB per cell): 0.00
Formation energy (no corrections) (meV/atom): -544.6
Space group: Cmcm, No. 63

***

No. 3
This record from Alexandria describes an optimized crystal structure of CeTmTe6. The functional is PBE.

```
CeTmTe6
1.0
5.764 4.554 -11.296
-9.314 -4.222 8.774
-0.583 4.114 1.361
Te Tm Ce
6 1 1
direct
0.579 0.421 0.000
0.292 0.708 0.000
0.079 0.921 0.500
0.421 0.579 0.500
0.706 0.294 0.500
0.921 0.079 0.000
0.172 0.828 0.000
0.829 0.171 0.500
```

Summary:
Size of the total moment (μB per cell): 0.44
Formation energy (no corrections) (meV/atom): -913.9
Space group: Amm2, No. 38

***

Q: Look up the size of the total moment of the first one.
A: 0.00 μB per cell

***

Q: What is the formula in the first record?
A: NdSm4Lu

***

Q: What is the size of the total moment in the second record?
A: 0.00 μB per cell

***

Q: What is the size of the total moment in the third record?
A: 0.44 μB per cell